1.
Here is NbPdPt3 after structural relaxation from Alexandria via LeMat-Bulk. Energies are from GGA-PBE.

Cell lengths 4.807, 6.568, 6.568 Å; angles 120.00, 90.00, 90.00 degrees
Fractional coordinates of all 10 atoms:
Nb: 0.250 0.334 0.666
Nb: 0.750 0.666 0.334
Pd: 0.000 0.000 0.000
Pd: 0.500 0.000 0.000
Pt: 0.250 0.798 0.202
Pt: 0.750 0.202 0.798
Pt: 0.250 0.798 0.595
Pt: 0.750 0.202 0.405
Pt: 0.250 0.405 0.202
Pt: 0.750 0.595 0.798

Output
ΔH_f (0 K): 0.70 eV/f.u.
DOS at the Fermi energy: 4.30 states/eV/f.u.
Energy above the lowest structure with this stoichiometry: 0.0 kJ/mol of atoms
DFT total energy: -6.537 eV per atom

2.
Here is TbTmIn2 after structural relaxation from Alexandria via LeMat-Bulk. Energies are from GGA-PBE.

Cell lengths 3.667, 3.667, 9.929 Å; angles 79.36, 79.36, 60.00 degrees
Fractional coordinates of all 4 atoms:
Tm: 0.000 0.000 0.000
Tb: 0.500 0.500 0.500
In: 0.749 0.749 0.753
In: 0.251 0.251 0.247

Output
ΔH_f (0 K): -1.28 eV/f.u.
DOS at the Fermi energy: 2.15 states/eV/f.u.
DFT total energy: -3.964 eV per atom

3.
Here is MnAg2PbBr8 after structural relaxation from Alexandria via LeMat-Bulk. Energies are from GGA-PBE.

Cell lengths 6.658, 8.285, 8.354 Å; angles 90.06, 89.97, 124.50 degrees
Each line ends with the local moment (μB).
Fractional coordinates of all 12 atoms:
Mn: 0.000 0.000 0.000  3.12
Ag: 0.499 0.500 0.740  -0.04
Ag: 0.501 0.500 0.260  -0.04
Pb: 0.000 0.000 0.500  0.01
Br: 0.056 0.810 0.206  -0.03
Br: 0.558 0.750 0.000  -0.04
Br: 0.943 0.190 0.207  -0.03
Br: 0.944 0.190 0.794  -0.03
Br: 0.442 0.250 0.000  -0.04
Br: 0.057 0.810 0.793  -0.03
Br: 0.448 0.704 0.500  -0.04
Br: 0.552 0.296 0.500  -0.04

Output
DOS at the Fermi energy: 5.64 states/eV/f.u.
ΔE_f (raw): -51.9 kJ/mol of atoms
DFT total energy: -3.202 eV per atom

4.
Here is BaAgIr2I after structural relaxation from Alexandria via LeMat-Bulk. Energies are from GGA-PBE.

Cell lengths 5.302, 6.586, 5.302 Å; angles 90.00, 90.00, 90.00 degrees
Each line ends with the local moment (μB).
Fractional coordinates of all 5 atoms:
I: 0.000 0.500 0.000  0.04
Ir: 0.000 0.000 0.500  0.82
Ir: 0.500 0.000 0.000  0.80
Ba: 0.000 0.000 0.000  -0.03
Ag: 0.500 0.500 0.500  -0.01

Output
DOS at the Fermi energy: 5.83 states/eV/f.u.
ΔE_f (raw): 181.3 kJ/mol of atoms
DFT total energy: -2.931 eV per atom